DFT (PBE+U) results for crystalline TbV3O9 at its relaxed geometry.

Structure (POSCAR):
```
TbV3O9
1.0
4.463 -5.930 0.000
4.463 5.930 0.000
0.000 0.000 7.616
Tb V O
2 6 18
Direct
0.102 0.102 0.000 Tb
0.898 0.898 0.500 Tb
0.253 0.253 0.500 V
0.288 0.648 0.970 V
0.352 0.712 0.530 V
0.648 0.288 0.030 V
0.712 0.352 0.470 V
0.747 0.747 0.000 V
0.120 0.159 0.679 O
0.159 0.120 0.321 O
0.165 0.805 0.985 O
0.173 0.426 0.031 O
0.195 0.835 0.515 O
0.262 0.485 0.427 O
0.365 0.635 0.750 O
0.426 0.173 0.969 O
0.485 0.262 0.573 O
0.515 0.738 0.073 O
0.574 0.827 0.469 O
0.635 0.365 0.250 O
0.738 0.515 0.927 O
0.805 0.165 0.015 O
0.827 0.574 0.531 O
0.835 0.195 0.485 O
0.841 0.880 0.821 O
0.880 0.841 0.179 O
```

## Properties
Total magnetic moment: 0.000 μB per cell
Uncorrected energy: -199.91 eV/cell